Crystalline ScTcTe2N at its relaxed geometry, computed with GGA-PBEsol.

Summary:
Crystal system = tetragonal
Space group = P4/mmm, No. 123
ΔE_f (raw) = -0.152 eV per atom

Structure (CIF):
```
data_ScTcTe2N
_chemical_formula_sum 'Sc1 Tc1 Te2 N1'
_cell_length_a 5.352
_cell_length_b 5.352
_cell_length_c 3.680
_cell_angle_alpha 90.00
_cell_angle_beta 90.00
_cell_angle_gamma 90.00
_space_group_name_H-M_alt 'P 1'
_space_group_IT_number 1
loop_
_space_group_symop_operation_xyz
'x,y,z'
loop_
_atom_site_label
_atom_site_type_symbol
_atom_site_fract_x
_atom_site_fract_y
_atom_site_fract_z
_atom_site_occupancy
Sc1 Sc 0.000 0.000 0.000 1
Tc1 Tc 0.500 0.500 0.500 1
Te1 Te 0.000 0.500 0.500 1
Te2 Te 0.500 0.000 0.500 1
N1 N 0.500 0.500 0.000 1
```



Crystalline ScTcWN2 at its relaxed geometry, computed with GGA-PBEsol.

Summary:
Crystal system = tetragonal
Space group = P4/mmm, No. 123
ΔE_f (raw) = 1.099 eV per atom

Structure (CIF):
```
data_ScTcWN2
_chemical_formula_sum 'Sc1 Tc1 W1 N2'
_cell_length_a 3.882
_cell_length_b 3.882
_cell_length_c 5.382
_cell_angle_alpha 90.00
_cell_angle_beta 90.00
_cell_angle_gamma 90.00
_space_group_name_H-M_alt 'P 1'
_space_group_IT_number 1
loop_
_space_group_symop_operation_xyz
'x,y,z'
loop_
_atom_site_label
_atom_site_type_symbol
_atom_site_fract_x
_atom_site_fract_y
_atom_site_fract_z
_atom_site_occupancy
Sc1 Sc 0.000 0.000 0.000 1
Tc1 Tc 0.500 0.500 0.000 1
W1 W 0.000 0.000 0.500 1
N1 N 0.000 0.500 0.500 1
N2 N 0.500 0.000 0.500 1
```



Crystalline ScTcW2N at its relaxed geometry, computed with GGA-PBEsol.

Summary:
Crystal system = tetragonal
Space group = P4/mmm, No. 123
ΔE_f (raw) = -0.125 eV per atom

Structure (CIF):
```
data_ScTcW2N
_chemical_formula_sum 'Sc1 Tc1 W2 N1'
_cell_length_a 4.120
_cell_length_b 4.120
_cell_length_c 4.164
_cell_angle_alpha 90.00
_cell_angle_beta 90.00
_cell_angle_gamma 90.00
_space_group_name_H-M_alt 'P 1'
_space_group_IT_number 1
loop_
_space_group_symop_operation_xyz
'x,y,z'
loop_
_atom_site_label
_atom_site_type_symbol
_atom_site_fract_x
_atom_site_fract_y
_atom_site_fract_z
_atom_site_occupancy
Sc1 Sc 0.000 0.000 0.000 1
Tc1 Tc 0.500 0.500 0.000 1
W1 W 0.000 0.500 0.500 1
W2 W 0.500 0.000 0.500 1
N1 N 0.500 0.500 0.500 1
```